No. 1
GGA-PBE Li2ErAs2Pt2, relaxed; space-group type = R-3m, No. 166; V = 121 Å³/cell
1.0
2.129 1.229 7.704
-2.129 1.229 7.704
0.000 -2.458 7.704
Li Er As Pt
2 1 2 2
direct
0.142 0.142 0.142
0.858 0.858 0.858
0.000 0.000 0.000
0.256 0.256 0.256
0.744 0.744 0.744
0.423 0.423 0.423
0.577 0.577 0.577

---

No. 2
GGA-PBE LiErAsS4, relaxed; formation energy without anion corrections = -922 meV per atom; space-group type = Imma, No. 74; V = 310 Å³/cell
1.0
-3.796 3.861 5.294
3.796 -3.861 5.294
3.796 3.861 -5.294
Li Er As S
2 2 2 8
direct
0.500 0.000 0.000
0.500 0.500 0.500
0.000 0.000 0.000
0.500 0.000 0.500
0.118 0.368 0.750
0.882 0.632 0.250
0.244 0.745 0.500
0.255 0.255 0.000
0.258 0.254 0.496
0.258 0.762 0.004
0.742 0.238 0.996
0.742 0.746 0.504
0.745 0.745 0.000
0.756 0.255 0.500

---

No. 3
GGA-PBE LiErTh2As4, relaxed; space-group type = P2/m, No. 10; V = 206 Å³/cell
1.0
7.049 0.000 0.000
0.000 4.244 0.000
-2.498 0.000 6.898
Li Er Th As
1 1 2 4
direct
0.000 0.000 0.000
0.000 0.500 0.500
0.500 0.000 0.500
0.500 0.500 0.000
0.241 0.000 0.748
0.248 0.500 0.250
0.752 0.500 0.750
0.759 0.000 0.252

---

No. 4
GGA-PBE LiEr2UAs4, relaxed; space-group type = P2/m, No. 10; V = 188 Å³/cell
1.0
6.905 0.000 0.000
0.000 4.075 0.000
-2.222 0.000 6.671
Li Er U As
1 2 1 4
direct
0.000 0.000 0.000
0.000 0.500 0.500
0.500 0.000 0.500
0.500 0.500 0.000
0.251 0.000 0.756
0.258 0.500 0.243
0.742 0.500 0.757
0.749 0.000 0.244

---

No. 5
GGA-PBE Er2LuAs, relaxed; space-group type = R-3m, No. 166; V = 116 Å³/cell
1.0
1.901 1.097 9.282
-1.901 1.097 9.282
0.000 -2.195 9.282
Er Lu As
2 1 1
direct
0.229 0.229 0.229
0.771 0.771 0.771
0.000 0.000 0.000
0.500 0.500 0.500

---

No. 6
GGA-PBE ErMnAs, relaxed; space-group type = C2/m, No. 12; V = 124 Å³/cell
1.0
2.813 -2.733 0.000
2.813 2.733 0.000
-0.798 0.000 8.040
Er Mn As
2 2 2
direct
0.237 0.237 0.298
0.763 0.763 0.702
0.333 0.333 0.952
0.667 0.667 0.048
0.259 0.259 0.658
0.741 0.741 0.342

---

No. 7
GGA-PBE ErMoAs, relaxed; space-group type = C2/m, No. 12; V = 131 Å³/cell
1.0
5.156 -1.767 0.000
5.156 1.767 0.000
-1.836 0.000 7.162
Er Mo As
2 2 2
direct
0.148 0.148 0.135
0.852 0.852 0.865
0.338 0.338 0.507
0.662 0.662 0.493
0.437 0.437 0.211
0.563 0.563 0.789

---

No. 8
GGA-PBE ErMoAs2, relaxed; space-group type = P4/mmm, No. 123; V = 73 Å³/cell
1.0
3.235 0.000 0.000
0.000 3.235 0.000
0.000 0.000 6.934
Er Mo As
1 1 2
direct
0.000 0.000 0.000
0.000 0.000 0.500
0.500 0.500 0.287
0.500 0.500 0.713

---

No. 9
GGA-PBE ErMoAs2, relaxed; space-group type = R-3m, No. 166; V = 79 Å³/cell
1.0
1.516 0.875 9.956
-1.516 0.875 9.956
0.000 -1.750 9.956
Er Mo As
1 1 2
direct
0.000 0.000 0.000
0.500 0.500 0.500
0.414 0.414 0.414
0.586 0.586 0.586

---

no.,DFT total energy (eV/atom),density (Mg/m³)
1,-5.14,9.90
2,-4.87,4.04
3,-6.17,7.55
4,-6.11,7.78
5,-5.13,8.35
6,-6.45,7.98
7,-7.02,8.60
8,-6.68,9.45
9,-5.91,8.66